[1]
The following is a DFT calculation (PBE) of a relaxed structure of PbNO2F.

formation energy without anion corrections: 0.582 eV per atom

Lattice parameters (Å, degrees): 4.335 4.335 4.396 90.00 90.00 90.00
Space group P4/mmm (No. 123)
Symmetry-distinct sites (fractional):
Pb1 0.000 0.000 0.000 [1 per cell]
N1 0.500 0.500 0.500 [1 per cell]
O1 0.000 0.500 0.000 [2 per cell]
F1 0.000 0.000 0.500 [1 per cell]

---

[2]
The following is a DFT calculation (PBE) of a relaxed structure of PbN2OF.

formation energy without anion corrections: 1.430 eV per atom

Lattice parameters (Å, degrees): 3.807 3.807 6.788 90.00 90.00 90.00
Space group P4/mmm (No. 123)
Symmetry-distinct sites (fractional):
Pb1 0.000 0.000 0.000 [1 per cell]
N1 0.000 0.500 0.500 [2 per cell]
O1 0.500 0.500 0.500 [1 per cell]
F1 0.500 0.500 0.000 [1 per cell]

---

> Look up the formation energy without anion corrections of the second one.

1.430 eV per atom

---

> What is the formula in the first record?

PbNO2F

---

> formation energy without anion corrections of number 1 (PbNO2F)?

0.582 eV per atom

---

What did the second record say?
The following is a DFT calculation (PBE) of a relaxed structure of PbN2OF.

formation energy without anion corrections: 1.430 eV per atom

Lattice parameters (Å, degrees): 3.807 3.807 6.788 90.00 90.00 90.00
Space group P4/mmm (No. 123)
Symmetry-distinct sites (fractional):
Pb1 0.000 0.000 0.000 [1 per cell]
N1 0.000 0.500 0.500 [2 per cell]
O1 0.500 0.500 0.500 [1 per cell]
F1 0.500 0.500 0.000 [1 per cell]